Record 1
# KEuO3 | Alexandria via LeMat-Bulk | PBE | optimized geometry
# M_tot = 4.00 μB per cell
# raw formation energy = -1.589 eV per atom
data_KEuO3
_cell_length_a 4.460
_cell_length_b 4.460
_cell_length_c 4.460
_cell_angle_alpha 90.00
_cell_angle_beta 90.00
_cell_angle_gamma 90.00
_space_group_name_H-M_alt 'P 1'
_space_group_IT_number 1
loop_
_space_group_symop_operation_xyz
'x,y,z'
loop_
_atom_site_label
_atom_site_fract_x
_atom_site_fract_y
_atom_site_fract_z
_atom_site_occupancy
O1 0.000 0.500 0.000 1
O2 0.000 0.000 0.500 1
O3 0.500 0.000 0.000 1
Eu1 0.000 0.000 0.000 1
K1 0.500 0.500 0.500 1

***

Record 2
# Pr2InGe3Pt4 | Alexandria via LeMat-Bulk | PBE | optimized geometry
# M_tot = 0.00 μB per cell
# formation energy from the elements = -20.405 kcal/mol of atoms
data_Pr2InGe3Pt4
_cell_length_a 4.411
_cell_length_b 4.411
_cell_length_c 10.453
_cell_angle_alpha 90.00
_cell_angle_beta 90.00
_cell_angle_gamma 90.00
_space_group_name_H-M_alt 'P 1'
_space_group_IT_number 1
loop_
_space_group_symop_operation_xyz
'x,y,z'
loop_
_atom_site_label
_atom_site_fract_x
_atom_site_fract_y
_atom_site_fract_z
_atom_site_occupancy
Ge1 0.000 0.000 0.500 1
Ge2 0.000 0.500 0.123 1
Ge3 0.500 0.000 0.877 1
Pr1 0.000 0.500 0.757 1
Pr2 0.500 0.000 0.243 1
Pt1 0.500 0.500 0.000 1
Pt2 0.000 0.500 0.357 1
Pt3 0.500 0.000 0.643 1
Pt4 0.000 0.000 0.000 1
In1 0.500 0.500 0.500 1

***

Record 3
# KLi4Ni | Alexandria via LeMat-Bulk | PBE | optimized geometry
# M_tot = 0.00 μB per cell
# formation energy from the elements = 8.447 kcal/mol of atoms
data_KLi4Ni
_cell_length_a 5.664
_cell_length_b 5.664
_cell_length_c 5.664
_cell_angle_alpha 60.00
_cell_angle_beta 60.00
_cell_angle_gamma 60.00
_space_group_name_H-M_alt 'P 1'
_space_group_IT_number 1
loop_
_space_group_symop_operation_xyz
'x,y,z'
loop_
_atom_site_label
_atom_site_fract_x
_atom_site_fract_y
_atom_site_fract_z
_atom_site_occupancy
Li1 0.866 0.378 0.378 1
Li2 0.378 0.378 0.866 1
Li3 0.378 0.866 0.378 1
Li4 0.378 0.378 0.378 1
Ni1 0.750 0.750 0.750 1
K1 0.000 0.000 0.000 1

***

Record 4
# CeTmSnTe | Alexandria via LeMat-Bulk | PBE | optimized geometry
# M_tot = 0.78 μB per cell
# raw formation energy = -0.963 eV per atom
data_CeTmSnTe
_cell_length_a 4.433
_cell_length_b 4.433
_cell_length_c 7.656
_cell_angle_alpha 73.17
_cell_angle_beta 73.17
_cell_angle_gamma 60.00
_space_group_name_H-M_alt 'P 1'
_space_group_IT_number 1
loop_
_space_group_symop_operation_xyz
'x,y,z'
loop_
_atom_site_label
_atom_site_fract_x
_atom_site_fract_y
_atom_site_fract_z
_atom_site_occupancy
Te1 0.940 0.940 0.179 1
Ce1 0.698 0.698 0.906 1
Sn1 0.447 0.447 0.658 1
Tm1 0.191 0.191 0.428 1

***

Record 5
# SrZnAs2 | Alexandria via LeMat-Bulk | PBE | optimized geometry
# M_tot = 0.00 μB per cell
# formation energy from the elements = -8.800 kcal/mol of atoms
data_SrZnAs2
_cell_length_a 6.326
_cell_length_b 6.326
_cell_length_c 4.225
_cell_angle_alpha 79.65
_cell_angle_beta 79.65
_cell_angle_gamma 36.02
_space_group_name_H-M_alt 'P 1'
_space_group_IT_number 1
loop_
_space_group_symop_operation_xyz
'x,y,z'
loop_
_atom_site_label
_atom_site_fract_x
_atom_site_fract_y
_atom_site_fract_z
_atom_site_occupancy
Zn1 0.281 0.281 0.259 1
Sr1 0.539 0.539 0.438 1
As1 0.747 0.747 0.818 1
As2 0.933 0.933 0.985 1

***

Record 6
# Ta2TcGePt | Alexandria via LeMat-Bulk | PBE | optimized geometry
# M_tot = 0.00 μB per cell
# formation energy from the elements = 23.428 kcal/mol of atoms
data_Ta2TcGePt
_cell_length_a 4.675
_cell_length_b 4.442
_cell_length_c 4.675
_cell_angle_alpha 90.00
_cell_angle_beta 90.00
_cell_angle_gamma 90.00
_space_group_name_H-M_alt 'P 1'
_space_group_IT_number 1
loop_
_space_group_symop_operation_xyz
'x,y,z'
loop_
_atom_site_label
_atom_site_fract_x
_atom_site_fract_y
_atom_site_fract_z
_atom_site_occupancy
Pt1 0.500 0.500 0.500 1
Tc1 0.000 0.500 0.000 1
Ge1 0.000 0.000 0.000 1
Ta1 0.500 0.000 0.000 1
Ta2 0.000 0.000 0.500 1

***

Record 7
# K2PmClO2 | Alexandria via LeMat-Bulk | PBE | optimized geometry
# M_tot = 0.00 μB per cell
# raw formation energy = -2.176 eV per atom
data_K2PmClO2
_cell_length_a 4.610
_cell_length_b 4.610
_cell_length_c 6.377
_cell_angle_alpha 90.00
_cell_angle_beta 90.00
_cell_angle_gamma 90.00
_space_group_name_H-M_alt 'P 1'
_space_group_IT_number 1
loop_
_space_group_symop_operation_xyz
'x,y,z'
loop_
_atom_site_label
_atom_site_fract_x
_atom_site_fract_y
_atom_site_fract_z
_atom_site_occupancy
Pm1 0.000 0.000 0.000 1
K1 0.500 0.500 0.753 1
K2 0.500 0.500 0.247 1
O1 0.500 0.000 0.000 1
O2 0.000 0.500 0.000 1
Cl1 0.000 0.000 0.500 1

***

Record 8
# Zn2SiTe | Alexandria via LeMat-Bulk | PBE | optimized geometry
# M_tot = 0.00 μB per cell
# offset from the most stable computed form = 243 meV per atom
# raw formation energy = 0.311 eV per atom
data_Zn2SiTe
_cell_length_a 3.315
_cell_length_b 3.315
_cell_length_c 7.752
_cell_angle_alpha 90.00
_cell_angle_beta 90.00
_cell_angle_gamma 108.27
_space_group_name_H-M_alt 'P 1'
_space_group_IT_number 1
loop_
_space_group_symop_operation_xyz
'x,y,z'
loop_
_atom_site_label
_atom_site_fract_x
_atom_site_fract_y
_atom_site_fract_z
_atom_site_occupancy
Te1 0.500 0.500 0.750 1
Zn1 0.000 0.000 0.461 1
Zn2 0.000 0.000 0.039 1
Si1 0.500 0.500 0.250 1

***

Record 9
# GaIr2 | Alexandria via LeMat-Bulk | PBE | optimized geometry
# M_tot = 0.00 μB per cell
# formation energy from the elements = -3.000 kcal/mol of atoms
data_GaIr2
_cell_length_a 2.804
_cell_length_b 2.804
_cell_length_c 5.881
_cell_angle_alpha 103.79
_cell_angle_beta 103.79
_cell_angle_gamma 90.00
_space_group_name_H-M_alt 'P 1'
_space_group_IT_number 1
loop_
_space_group_symop_operation_xyz
'x,y,z'
loop_
_atom_site_label
_atom_site_fract_x
_atom_site_fract_y
_atom_site_fract_z
_atom_site_occupancy
Ir1 0.336 0.336 0.672 1
Ir2 0.664 0.664 0.328 1
Ga1 0.000 0.000 0.000 1

***

Record 10
# Ac2Sm4Ge3O2 | Alexandria via LeMat-Bulk | PBE | optimized geometry
# M_tot = 0.39 μB per cell
# raw formation energy = -1.528 eV per atom
data_Ac2Sm4Ge3O2
_cell_length_a 4.736
_cell_length_b 4.736
_cell_length_c 13.069
_cell_angle_alpha 100.44
_cell_angle_beta 100.44
_cell_angle_gamma 90.00
_space_group_name_H-M_alt 'P 1'
_space_group_IT_number 1
loop_
_space_group_symop_operation_xyz
'x,y,z'
loop_
_atom_site_label
_atom_site_fract_x
_atom_site_fract_y
_atom_site_fract_z
_atom_site_occupancy
Ge1 0.168 0.168 0.337 1
Ge2 0.000 0.000 0.000 1
Ge3 0.832 0.832 0.663 1
O1 0.593 0.593 0.186 1
O2 0.407 0.407 0.814 1
Sm1 0.077 0.577 0.154 1
Sm2 0.423 0.923 0.846 1
Sm3 0.577 0.077 0.154 1
Sm4 0.923 0.423 0.846 1
Ac1 0.304 0.304 0.608 1
Ac2 0.696 0.696 0.392 1

***

Record 11
# Ti5CoSn4 | Alexandria via LeMat-Bulk | PBE | optimized geometry
# M_tot = 0.00 μB per cell
# formation energy from the elements = -0.510 kcal/mol of atoms
data_Ti5CoSn4
_cell_length_a 5.411
_cell_length_b 6.665
_cell_length_c 6.665
_cell_angle_alpha 80.52
_cell_angle_beta 66.05
_cell_angle_gamma 66.05
_space_group_name_H-M_alt 'P 1'
_space_group_IT_number 1
loop_
_space_group_symop_operation_xyz
'x,y,z'
loop_
_atom_site_label
_atom_site_fract_x
_atom_site_fract_y
_atom_site_fract_z
_atom_site_occupancy
Sn1 0.438 0.397 0.733 1
Sn2 0.567 0.603 0.267 1
Sn3 0.171 0.267 0.397 1
Sn4 0.835 0.733 0.603 1
Ti1 0.497 0.000 0.000 1
Ti2 0.770 0.119 0.346 1
Ti3 0.116 0.654 0.119 1
Ti4 0.889 0.346 0.881 1
Ti5 0.235 0.881 0.654 1
Co1 0.993 0.000 0.000 1

***

Record 12
# CdW2 | Alexandria via LeMat-Bulk | PBE | optimized geometry
# M_tot = 0.00 μB per cell
# offset from the most stable computed form = 158 meV per atom
# formation energy from the elements = 14.727 kcal/mol of atoms
data_CdW2
_cell_length_a 8.131
_cell_length_b 8.131
_cell_length_c 2.705
_cell_angle_alpha 90.00
_cell_angle_beta 90.00
_cell_angle_gamma 120.00
_space_group_name_H-M_alt 'P 1'
_space_group_IT_number 1
loop_
_space_group_symop_operation_xyz
'x,y,z'
loop_
_atom_site_label
_atom_site_fract_x
_atom_site_fract_y
_atom_site_fract_z
_atom_site_occupancy
W1 0.349 0.349 0.500 1
W2 0.317 0.000 0.000 1
W3 0.000 0.317 0.000 1
W4 0.683 0.683 0.000 1
W5 0.000 0.651 0.500 1
W6 0.651 0.000 0.500 1
Cd1 0.667 0.333 0.000 1
Cd2 0.000 0.000 0.500 1
Cd3 0.333 0.667 0.000 1